Here is an optimized crystal structure of FeP2CCl from Alexandria. Energies are from GGA-PBE.

Cell: 3.870 3.870 4.394 Å, 90.00 90.00 90.00°
Each line ends with the local moment (μB).
Fractional coordinates of all 5 atoms:
1 P 0.000 0.500 0.000  -0.06
2 P 0.500 0.000 0.000  -0.06
3 C 0.000 0.000 0.000  -0.07
4 Fe 0.500 0.500 0.500  2.88
5 Cl 0.000 0.000 0.500  -0.01

**Relative energy among the computed polymorphs**: 0 meV per atom
**Uncorrected energy**: -4.72 eV per atom
**Formation energy without anion corrections**: 1355 meV per atom